1.
VASP calculation (PBE-GGA) on NaFeP2Cl after structural relaxation.

## Properties
For the final energy, the calculation gives -23.60 eV per cell. The relative energy among the computed polymorphs comes out at 0.000 eV per atom. The density of states at the Fermi level is 3.052 states/eV/cell. Its uncorrected formation energy is -0.23 eV/atom.

abc: 4.1788 4.1788 6.6813
angles: 90.00 90.00 90.00
Space group P4/mmm (No. 123)
One atom of each set of equivalent atoms:
1 Na 0.0000 0.0000 0.0000 [1 per cell]
2 Fe 0.5000 0.5000 0.5000 [1 per cell]
3 P 0.0000 0.5000 0.5000 [2 per cell]
4 Cl 0.5000 0.5000 0.0000 [1 per cell]

---

2.
VASP calculation (PBE-GGA) on TeP after structural relaxation.

## Properties
For the final energy, the calculation gives -14.76 eV per cell. The density of states at the Fermi level is 4.981 states/eV/cell. Its uncorrected formation energy is 0.59 eV/atom.

abc: 3.7974 8.2022 3.7950
angles: 90.00 90.00 90.00
Space group Cmmm (No. 65)
One atom of each set of equivalent atoms:
1 Te 0.0000 0.0000 0.0000 [2 per cell]
2 P 0.0000 0.5000 0.5000 [2 per cell]

---

3.
VASP calculation (PBE-GGA) on LaSbBr2 after structural relaxation.

## Properties
For the final energy, the calculation gives -32.49 eV per cell. The relative energy among the computed polymorphs comes out at 0.222 eV per atom. The density of states at the Fermi level is 3.777 states/eV/cell. Its uncorrected formation energy is -0.96 eV/atom.

abc: 3.9046 5.1555 11.5432
angles: 90.00 90.00 90.00
Space group Imm2 (No. 44)
One atom of each set of equivalent atoms:
1 La 0.0000 0.0000 0.0000 [2 per cell]
2 Sb 0.0000 0.5000 0.2447 [2 per cell]
3 Br 0.0000 0.0000 0.4675 [2 per cell]
4 Br 0.0000 0.5000 0.7020 [2 per cell]

---

4.
VASP calculation (PBE-GGA) on Ta2VFe2 after structural relaxation.

## Properties
For the final energy, the calculation gives -99.76 eV per cell. As for the formation energy: -26 meV/atom. The density of states at the Fermi level is 10.448 states/eV/cell.

abc: 5.9196 5.9196 4.1295
angles: 90.00 90.00 90.00
Space group P4/mbm (No. 127)
One atom of each set of equivalent atoms:
1 Ta 0.1813 0.3187 0.0000 [4 per cell]
2 V 0.0000 0.0000 0.5000 [2 per cell]
3 Fe 0.1376 0.6376 0.5000 [4 per cell]

---

- Number 2 is which compound?
  TeP

---

- Among the records above, which one has the lowest final energy?
  Ta2VFe2

---

- The lowest final energy belongs to which entry?
  Ta2VFe2